# TeI2BrN, relaxed, DFT GGA-PBE
data_TeI2BrN
_chemical_formula_sum 'Te1 I2 Br1 N1'
_cell_length_a 4.942
_cell_length_b 4.942
_cell_length_c 5.187
_cell_angle_alpha 90.00
_cell_angle_beta 90.00
_cell_angle_gamma 90.00
_space_group_name_H-M_alt 'P 4/m m m'
_space_group_IT_number 123
_space_group_name_Hall '-P 4 2'
loop_
_atom_site_label
_atom_site_fract_x
_atom_site_fract_y
_atom_site_fract_z
_atom_site_occupancy
Te1 0.000 0.000 0.000 1
I1 0.000 0.500 0.500 1
Br1 0.500 0.500 0.000 1
N1 0.000 0.000 0.500 1
# Energy above the lowest structure with this stoichiometry in eV/f.u.: 0.759
# Formation energy without anion corrections in eV/atom: 0.947